DFT (GGA-PBEsol) results for a geometry-optimized CdCo2Sb structure.

- uncorrected formation energy (eV per atom) = 0.19
- final energy (eV/atom) = -5.12

abc: 3.084 3.084 6.213
angles: 90.00 90.00 90.00
Space group P4/mmm (No. 123)
One atom of each set of equivalent atoms:
Cd: 0.000 0.000 0.000 x1
Co: 0.500 0.500 0.277 x2
Sb: 0.000 0.000 0.500 x1